[1]
! PBE Tb5Nd5In2, relaxed; values from VASP
&SYSTEM
  ibrav = 0, nat = 12, ntyp = 3
/
ATOMIC_SPECIES
Tb 158.93 Tb.upf
Nd 144.24 Nd.upf
In 114.82 In.upf
CELL_PARAMETERS angstrom
5.707 -2.627 0.000
5.707 2.627 0.000
-0.308 0.000 12.928
ATOMIC_POSITIONS angstrom
Tb 0.000 0.000 0.000
Tb 3.700 0.000 6.094
Tb 4.528 0.000 2.409
Tb 6.578 0.000 10.519
Tb 7.406 0.000 6.834
Nd -0.154 0.000 6.464
Nd 1.212 0.000 3.463
Nd 3.155 0.000 11.940
Nd 7.951 0.000 0.988
Nd 9.894 0.000 9.465
In 2.042 0.000 8.893
In 9.064 0.000 4.035
! Space-group type = C2/m (12)
! Total energy = -53.190 eV/cell
! Magnetization = 0.0 μB/f.u.
! DOS(E_F) = 15.6 states/eV per cell
! DFT formation energy = -0.060 eV/atom
! ΔE to the lowest computed polymorph = 75.3 meV per atom

[2]
! PBE Tb3NdIn4, relaxed; values from VASP
&SYSTEM
  ibrav = 0, nat = 16, ntyp = 3
/
ATOMIC_SPECIES
Tb 158.93 Tb.upf
Nd 144.24 Nd.upf
In 114.82 In.upf
CELL_PARAMETERS angstrom
10.753 0.000 0.000
0.000 7.579 0.000
0.000 0.000 5.374
ATOMIC_POSITIONS angstrom
Tb 0.000 0.000 0.000
Tb 2.688 0.000 2.679
Tb 2.688 3.789 2.680
Tb 5.376 0.000 0.000
Tb 8.064 0.000 2.696
Tb 8.064 3.789 2.695
Nd 0.000 3.789 0.000
Nd 5.376 3.789 0.000
In 0.000 1.853 2.687
In 0.000 5.726 2.687
In 2.688 1.853 5.365
In 2.688 5.726 5.365
In 5.376 1.853 2.687
In 5.376 5.726 2.687
In 8.064 1.853 0.009
In 8.064 5.726 0.009
! Space-group type = Pmma (51)
! Total energy = -66.914 eV/cell
! Magnetization = 0.0 μB/f.u.
! DOS(E_F) = 6.6 states/eV per cell
! DFT formation energy = -0.481 eV/atom
! ΔE to the lowest computed polymorph = 0.0 meV per atom

[3]
! PBE Tb3Nd12In5, relaxed; values from VASP
&SYSTEM
  ibrav = 0, nat = 80, ntyp = 3
/
ATOMIC_SPECIES
Tb 158.93 Tb.upf
Nd 144.24 Nd.upf
In 114.82 In.upf
CELL_PARAMETERS angstrom
-9.347 9.347 9.347
9.347 -9.347 9.347
9.347 9.347 -9.347
ATOMIC_POSITIONS angstrom
Tb 4.674 2.337 0.000
Tb 9.347 4.674 -2.337
Tb 2.337 0.000 4.674
Tb 11.684 0.000 4.674
Tb 0.000 4.674 2.337
Tb 4.674 -2.337 9.347
Tb 4.674 11.684 0.000
Tb 9.347 4.674 7.010
Tb -2.337 9.347 4.674
Tb 7.010 9.347 4.674
Tb 0.000 4.674 11.684
Tb 4.674 7.010 9.347
Nd 2.721 -0.408 1.423
Nd 11.300 6.096 -5.081
Nd 8.939 -1.423 2.721
Nd 14.428 -1.953 3.251
Nd 12.068 0.408 1.423
Nd 11.300 -3.251 5.081
Nd 1.423 2.721 -0.408
Nd 12.598 4.266 -1.953
Nd 6.096 5.081 -1.953
Nd 7.924 2.721 0.408
Nd -0.408 1.423 2.721
Nd 5.081 -1.953 6.096
Nd 8.939 7.924 -2.721
Nd 5.081 1.953 3.251
Nd 7.924 -2.721 8.939
Nd 6.096 -5.081 11.300
Nd 3.251 5.081 1.953
Nd 10.770 6.626 0.408
Nd 2.721 8.939 -1.423
Nd 11.300 3.251 4.266
Nd 5.081 11.300 -3.251
Nd 8.939 1.423 6.626
Nd 1.953 3.251 5.081
Nd 2.721 0.408 7.924
Nd 6.626 8.939 1.423
Nd 7.394 6.096 4.266
Nd 0.408 7.924 2.721
Nd 4.266 -1.953 12.598
Nd -1.953 6.096 5.081
Nd 6.626 0.408 10.770
Nd -1.423 2.721 8.939
Nd 6.096 4.266 7.394
Nd 3.251 14.428 -1.953
Nd 1.423 12.068 0.408
Nd 4.266 7.394 6.096
Nd 0.408 1.423 12.068
Nd 4.266 11.300 3.251
Nd 9.755 7.924 6.626
Nd 1.423 6.626 8.939
Nd 3.251 4.266 11.300
Nd -3.251 5.081 11.300
Nd 7.924 6.626 9.755
Nd -1.953 12.598 4.266
Nd -2.721 8.939 7.924
Nd -5.081 11.300 6.096
Nd 0.408 10.770 6.626
Nd -1.953 3.251 14.428
Nd 6.626 9.755 7.924
In 0.000 0.000 0.000
In 4.674 4.674 -4.674
In 4.674 -4.674 4.674
In 9.347 0.000 0.000
In 14.021 2.337 0.000
In 9.347 -4.674 7.010
In 7.010 9.347 -4.674
In 7.010 0.000 4.674
In 4.674 7.010 0.000
In 9.347 4.674 2.337
In -4.674 4.674 4.674
In 0.000 9.347 0.000
In 0.000 0.000 9.347
In 4.674 4.674 4.674
In 0.000 4.674 7.010
In 4.674 2.337 9.347
In 2.337 9.347 4.674
In 2.337 0.000 14.021
In 0.000 14.021 2.337
In -4.674 7.010 9.347
! Space-group type = Ia-3d (230)
! Total energy = -301.246 eV/cell
! Magnetization = 0.0 μB/f.u.
! DOS(E_F) = 147.8 states/eV per cell
! DFT formation energy = 0.474 eV/atom